A relaxed Cr2NiIr crystal. Source: Alexandria, functional PBE.

Cell: 8.514 8.514 8.514 Å, 17.72 17.72 17.72°
Positions (direct):
Cr 0.002 0.002 0.002
Cr 0.498 0.498 0.498
Ir 0.250 0.250 0.250
Ni 0.750 0.750 0.750

Results
ΔH_f (0 K) ... 109 meV/atom
Raw total energy ... -0.3074 hartree per atom
DOS(E_F) ... 5.7 states/eV per cell
Symmetry ... R-3m, No. 166
V ... 50 Å³/cell

A relaxed ErMg14In crystal. Source: Alexandria, functional PBE.

Cell: 6.638 6.638 8.620 Å, 90.00 90.00 90.00°
Positions (direct):
Er 0.875 0.875 0.500
Mg 0.875 0.875 0.000
Mg 0.375 0.375 0.000
Mg 0.875 0.375 0.500
Mg 0.875 0.375 0.000
Mg 0.375 0.875 0.500
Mg 0.375 0.875 0.000
Mg 0.624 0.126 0.244
Mg 0.624 0.126 0.756
Mg 0.126 0.624 0.244
Mg 0.126 0.624 0.756
Mg 0.624 0.624 0.244
Mg 0.624 0.624 0.756
Mg 0.126 0.126 0.244
Mg 0.126 0.126 0.756
In 0.375 0.375 0.500

Results
ΔH_f (0 K) ... -3 meV/atom
Raw total energy ... -0.0681 hartree per atom
DOS(E_F) ... 10.9 states/eV per cell
Symmetry ... P4/mmm, No. 123
V ... 380 Å³/cell

A relaxed ScTlV2 crystal. Source: Alexandria, functional PBE.

Cell: 7.498 7.498 5.987 Å, 51.23 51.23 90.00°
Last column: magnetic moment on the atom in μB.
Positions (direct):
Sc 0.500 0.500 0.000  0.05
Sc 0.250 0.750 0.500  0.05
Tl 0.000 0.000 0.000  -0.02
Tl 0.750 0.250 0.500  -0.02
V 0.631 0.125 0.250  0.52
V 0.119 0.625 0.250  0.52
V 0.375 0.369 0.750  0.52
V 0.875 0.881 0.750  0.52

Results
Offset from the most stable computed form ... 0.3933 eV/atom
ΔH_f (0 K) ... 824 meV/atom
Raw total energy ... -0.2172 hartree per atom
DOS(E_F) ... 10.5 states/eV per cell
Symmetry ... I-42d, No. 122
V ... 156 Å³/cell

A relaxed ThAgPtAu crystal. Source: Alexandria, functional PBE.

Cell: 4.957 4.957 4.957 Å, 60.00 60.00 60.00°
Positions (direct):
Ag 0.500 0.500 0.500
Au 0.250 0.250 0.250
Pt 0.750 0.750 0.750
Th 0.000 0.000 0.000

Results
ΔH_f (0 K) ... -638 meV/atom
Raw total energy ... -0.2034 hartree per atom
DOS(E_F) ... 2.8 states/eV per cell
Symmetry ... F-43m, No. 216
V ... 86 Å³/cell

Q: Look up the ΔH_f (0 K) of the first one.
A: 109 meV/atom

Q: DOS(E_F) of number 4 (ThAgPtAu)?
A: 2.8 states/eV per cell

Q: Number 1 is which compound?
A: Cr2NiIr